Record 1
First-principles (GGA-PBE) data for a relaxed RbSm4 crystal, as listed in Alexandria via LeMat-Bulk.

Structure (CIF):
```
data_RbSm4
_chemical_formula_sum 'Rb1 Sm4'
_cell_length_a 5.696
_cell_length_b 5.696
_cell_length_c 5.696
_cell_angle_alpha 90.00
_cell_angle_beta 90.00
_cell_angle_gamma 90.00
_space_group_name_H-M_alt 'P m -3 m'
_space_group_IT_number 221
_space_group_name_Hall '-P 4 2 3'
loop_
_atom_site_label
_atom_site_type_symbol
_atom_site_fract_x
_atom_site_fract_y
_atom_site_fract_z
_atom_site_occupancy
Rb1 Rb 0.000 0.000 0.000 1
Sm1 Sm 0.000 0.000 0.500 1
Sm2 Sm 0.500 0.500 0.500 1
```

Formation enthalpy at 0 K ... 1.07 eV/atom
Fermi-level density of states ... 1.556 states/eV per atom
Calculated density ... 6.2 g/cm³
Crystal system ... cubic

***

Record 2
First-principles (GGA-PBE) data for a relaxed RbSr2Sm crystal, as listed in Alexandria via LeMat-Bulk.

Structure (CIF):
```
data_RbSr2Sm
_chemical_formula_sum 'Rb1 Sr2 Sm1'
_cell_length_a 4.139
_cell_length_b 4.139
_cell_length_c 12.482
_cell_angle_alpha 90.00
_cell_angle_beta 90.00
_cell_angle_gamma 90.00
_space_group_name_H-M_alt 'P 4/m m m'
_space_group_IT_number 123
_space_group_name_Hall '-P 4 2'
loop_
_atom_site_label
_atom_site_type_symbol
_atom_site_fract_x
_atom_site_fract_y
_atom_site_fract_z
_atom_site_occupancy
Rb1 Rb 0.000 0.000 0.000 1
Sr1 Sr 0.500 0.500 0.298 1
Sm1 Sm 0.000 0.000 0.500 1
```

Formation enthalpy at 0 K ... 0.19 eV/atom
Fermi-level density of states ... 1.791 states/eV per atom
Calculated density ... 3.2 g/cm³
Crystal system ... tetragonal

***

Record 3
First-principles (GGA-PBE) data for a relaxed RbTb2Sm crystal, as listed in Alexandria via LeMat-Bulk.

Structure (CIF):
```
data_RbTb2Sm
_chemical_formula_sum 'Rb3 Tb6 Sm3'
_cell_length_a 3.6472
_cell_length_b 3.6472
_cell_length_c 40.0283
_cell_angle_alpha 90.00
_cell_angle_beta 90.00
_cell_angle_gamma 120.00
_space_group_name_H-M_alt 'R -3 m'
_space_group_IT_number 166
_space_group_name_Hall '-R 3 2"'
loop_
_atom_site_label
_atom_site_type_symbol
_atom_site_fract_x
_atom_site_fract_y
_atom_site_fract_z
_atom_site_occupancy
Rb1 Rb 0.0000 0.0000 0.0000 1
Tb1 Tb 0.0000 0.0000 0.0954 1
Sm1 Sm 0.0000 0.0000 0.5000 1
```

Formation enthalpy at 0 K ... 0.29 eV/atom
Fermi-level density of states ... 1.233 states/eV per atom
Calculated density ... 6.0 g/cm³
Crystal system ... trigonal

***

Record 4
First-principles (GGA-PBE) data for a relaxed RbTb2Sm3Te6 crystal, as listed in Alexandria via LeMat-Bulk.

Structure (CIF):
```
data_RbTb2Sm3Te6
_chemical_formula_sum 'Rb2 Tb4 Sm6 Te12'
_cell_length_a 19.642
_cell_length_b 4.439
_cell_length_c 9.184
_cell_angle_alpha 90.00
_cell_angle_beta 103.61
_cell_angle_gamma 90.00
_space_group_name_H-M_alt 'C 1 2/m 1'
_space_group_IT_number 12
loop_
_space_group_symop_operation_xyz
'x,y,z'
'-x,-y,-z'
'-x,y,-z'
'x,-y,z'
'x+1/2,y+1/2,z'
'-x+1/2,-y+1/2,-z'
'-x+1/2,y+1/2,-z'
'x+1/2,-y+1/2,z'
loop_
_atom_site_label
_atom_site_type_symbol
_atom_site_fract_x
_atom_site_fract_y
_atom_site_fract_z
_atom_site_occupancy
Rb1 Rb 0.000 0.000 0.000 1
Tb1 Tb 0.168 0.500 0.343 1
Sm1 Sm 0.000 0.000 0.500 1
Sm2 Sm 0.158 0.500 0.815 1
Te1 Te 0.006 0.500 0.269 1
Te2 Te 0.167 0.000 0.578 1
Te3 Te 0.177 0.000 0.090 1
```

Fermi-level density of states ... 0.405 states/eV per atom
Calculated density ... 6.9 g/cm³
Energy relative to the elements, uncorrected ... -1.312 eV per atom
Crystal system ... monoclinic

***

Record 5
First-principles (GGA-PBE) data for a relaxed Rb4TbSm3Te8 crystal, as listed in Alexandria via LeMat-Bulk.

Structure (CIF):
```
data_Rb4TbSm3Te8
_chemical_formula_sum 'Rb12 Tb3 Sm9 Te24'
_cell_length_a 9.1760
_cell_length_b 9.1760
_cell_length_c 25.6897
_cell_angle_alpha 90.00
_cell_angle_beta 90.00
_cell_angle_gamma 120.00
_space_group_name_H-M_alt 'R -3 m'
_space_group_IT_number 166
_space_group_name_Hall '-R 3 2"'
loop_
_atom_site_label
_atom_site_type_symbol
_atom_site_fract_x
_atom_site_fract_y
_atom_site_fract_z
_atom_site_occupancy
Rb1 Rb 0.0000 0.0000 0.0000 1
Rb2 Rb 0.0000 0.5000 0.0000 1
Tb1 Tb 0.0000 0.0000 0.5000 1
Sm1 Sm 0.0000 0.5000 0.5000 1
Te1 Te 0.0000 0.0000 0.2345 1
Te2 Te 0.0035 0.5017 0.2339 1
```

Calculated density ... 5.2 g/cm³
Energy relative to the elements, uncorrected ... -1.399 eV per atom
Crystal system ... trigonal

***

Record 6
First-principles (GGA-PBE) data for a relaxed Rb3TbSm3Te8 crystal, as listed in Alexandria via LeMat-Bulk.

Structure (CIF):
```
data_Rb3TbSm3Te8
_chemical_formula_sum 'Rb9 Tb3 Sm9 Te24'
_cell_length_a 8.9723
_cell_length_b 8.9723
_cell_length_c 26.5272
_cell_angle_alpha 90.00
_cell_angle_beta 90.00
_cell_angle_gamma 120.00
_space_group_name_H-M_alt 'R -3 m'
_space_group_IT_number 166
_space_group_name_Hall '-R 3 2"'
loop_
_atom_site_label
_atom_site_type_symbol
_atom_site_fract_x
_atom_site_fract_y
_atom_site_fract_z
_atom_site_occupancy
Rb1 Rb 0.0000 0.5000 0.0000 1
Tb1 Tb 0.0000 0.0000 0.5000 1
Sm1 Sm 0.0000 0.5000 0.5000 1
Te1 Te 0.0000 0.0000 0.2346 1
Te2 Te 0.0022 0.5011 0.2336 1
```

Fermi-level density of states ... 0.539 states/eV per atom
Calculated density ... 5.1 g/cm³
Energy relative to the elements, uncorrected ... -1.324 eV per atom
Crystal system ... trigonal

***

Record 7
First-principles (GGA-PBE) data for a relaxed RbSmTe2 crystal, as listed in Alexandria via LeMat-Bulk.

Structure (CIF):
```
data_RbSmTe2
_chemical_formula_sum 'Rb3 Sm3 Te6'
_cell_length_a 4.6051
_cell_length_b 4.6051
_cell_length_c 25.6978
_cell_angle_alpha 90.00
_cell_angle_beta 90.00
_cell_angle_gamma 120.00
_space_group_name_H-M_alt 'R -3 m'
_space_group_IT_number 166
_space_group_name_Hall '-R 3 2"'
loop_
_atom_site_label
_atom_site_type_symbol
_atom_site_fract_x
_atom_site_fract_y
_atom_site_fract_z
_atom_site_occupancy
Rb1 Rb 0.0000 0.0000 0.0000 1
Sm1 Sm 0.0000 0.0000 0.5000 1
Te1 Te 0.0000 0.0000 0.2343 1
```

Calculated density ... 5.2 g/cm³
Energy relative to the elements, uncorrected ... -1.402 eV per atom
Crystal system ... trigonal

***

Record 8
First-principles (GGA-PBE) data for a relaxed Rb3Sm5Te12 crystal, as listed in Alexandria via LeMat-Bulk.

Structure (CIF):
```
data_Rb3Sm5Te12
_chemical_formula_sum 'Rb24 Sm40 Te96'
_cell_length_a 19.323
_cell_length_b 19.323
_cell_length_c 19.323
_cell_angle_alpha 90.00
_cell_angle_beta 90.00
_cell_angle_gamma 90.00
_space_group_name_H-M_alt 'I a -3 d'
_space_group_IT_number 230
_space_group_name_Hall '-I 4bd 2c 3'
loop_
_atom_site_label
_atom_site_type_symbol
_atom_site_fract_x
_atom_site_fract_y
_atom_site_fract_z
_atom_site_occupancy
Rb1 Rb 0.000 0.250 0.125 1
Sm1 Sm 0.000 0.000 0.000 1
Sm2 Sm 0.000 0.250 0.375 1
Te1 Te 0.051 0.075 0.636 1
```

Fermi-level density of states ... 0.930 states/eV per atom
Calculated density ... 4.7 g/cm³
Energy relative to the elements, uncorrected ... -0.838 eV per atom
Crystal system ... cubic

***

| no. | total energy (eV per cell) |
| --- | --- |
| 1 | -14.51 |
| 2 | -8.28 |
| 3 | -41.31 |
| 4 | -117.96 |
| 5 | -210.53 |
| 6 | -200.05 |
| 7 | -52.73 |
| 8 | -647.63 |